1.
A plane-wave DFT calculation with PBE was carried out for Pr4POsCl2 after structural relaxation.

```
Pr4POsCl2
1.0
-3.254 1.400 -2.112
-2.930 -6.981 -0.114
-4.226 -0.617 6.102
Pr P Os Cl
4 1 1 2
Direct
0.000 0.711 0.772
0.000 0.289 0.228
0.500 0.706 0.253
0.500 0.294 0.747
0.000 0.500 0.500
0.500 0.500 0.000
0.000 0.000 0.000
0.500 0.000 0.500
```

Summary:
Its formation energy from raw total energies is -1162 meV per atom.

***

2.
A plane-wave DFT calculation with PBE was carried out for BaTiHg after structural relaxation.

```
BaTiHg
1.0
-10.673 4.181 4.046
-1.913 -0.472 -2.991
-1.060 -3.957 1.302
Ti Ba Hg
2 2 2
Direct
0.252 0.305 0.676
0.162 0.349 0.178
0.867 0.495 0.178
0.547 0.158 0.675
0.358 0.752 0.175
0.056 0.901 0.679
```

Summary:
For the raw total energy, the calculation gives -3.2585 eV per atom.

***

3.
A plane-wave DFT calculation with PBE was carried out for ErPuSnAu after structural relaxation.

```
ErPuSnAu
1.0
5.231 0.000 0.000
2.616 4.530 0.000
2.616 1.510 4.271
Er Au Sn Pu
1 1 1 1
Direct
0.500 0.500 0.500
0.750 0.750 0.750
0.250 0.250 0.250
0.000 0.000 0.000
```

Summary:
For the raw total energy, the calculation gives -7.0660 eV per atom.